# NiF (GGA+U, optimized geometry)
data_NiF
_chemical_formula_sum 'Ni2 F2'
_cell_length_a 2.931
_cell_length_b 2.931
_cell_length_c 7.063
_cell_angle_alpha 102.36
_cell_angle_beta 102.36
_cell_angle_gamma 60.02
_space_group_name_H-M_alt 'P 1'
_space_group_IT_number 1
loop_
_space_group_symop_operation_xyz
'x,y,z'
loop_
_atom_site_label
_atom_site_type_symbol
_atom_site_fract_x
_atom_site_fract_y
_atom_site_fract_z
Ni1 Ni 0.113 0.113 0.343
Ni2 Ni 0.887 0.887 0.657
F1 F 0.392 0.392 0.184
F2 F 0.608 0.608 0.816
# Volume, Å³/atom: 12.74
# M_tot, μB per cell: 3.33
# Relative energy among the computed polymorphs, meV/atom: 1